! NbNiHg2O (PBE with a Hubbard U, optimized geometry); values from VASP
! - E: -12.825 eV per cell
! - Total magnetic moment: 1.13 μB per cell
! - Symmetry: P4/mmm (123)
&SYSTEM
  ibrav = 0, nat = 5, ntyp = 4
/
ATOMIC_SPECIES
Hg 200.59 Hg.upf
Nb 92.91 Nb.upf
O 16.00 O.upf
Ni 58.69 Ni.upf
CELL_PARAMETERS angstrom
-2.9122 3.7153 -0.7635
-2.1399 -0.8715 3.9216
3.0548 2.8681 2.3043
ATOMIC_POSITIONS angstrom
Hg -1.4561 1.8576 -0.3818
Hg 1.5274 1.4340 1.1521
Nb -1.0699 -0.4357 1.9608
O -0.9987 2.8559 2.7312
Ni 0.0000 0.0000 0.0000